Compound: KSbBr4
Source: Alexandria
Functional: PBE-GGA
Structure: relaxed

## Properties
Uncorrected formation energy, meV per atom: 88
D(E_F), states/eV/cell: 8.78
Space group: No. 216

Cell lengths 6.545, 6.545, 6.545 Å; angles 60.00, 60.00, 60.00 degrees
Positions (direct):
K: 0.000 0.000 0.000
Sb: 0.750 0.750 0.750
Br: 0.375 0.375 0.375
Br: 0.375 0.375 0.875
Br: 0.375 0.875 0.375
Br: 0.875 0.375 0.375



Compound: BeFeCo
Source: Alexandria
Functional: PBE-GGA
Structure: relaxed

## Properties
ΔH_f (0 K), kcal/mol of atoms: -3.2
D(E_F), states/eV/cell: 4.36
Space group: No. 107

Cell lengths 2.693, 2.693, 8.085 Å; angles 90.00, 90.00, 90.00 degrees
Positions (direct):
Be: 0.000 0.000 0.000
Be: 0.500 0.500 0.500
Fe: 0.000 0.000 0.333
Fe: 0.500 0.500 0.833
Co: 0.000 0.000 0.652
Co: 0.500 0.500 0.152



no.,spin magnetization (μB/cell),energy relative to the lowest polymorph listed for this composition (eV per atom),raw total energy (eV per atom)
1,0.660,1.094,-1.8974
2,6.295,0.000,-6.5705